No. 1
The following is a DFT calculation (GGA-PBE) of an optimized crystal structure of AcTm2TaO8.

The space group is Cmmm (No. 65) and the conventional cell measures 7.0658, 7.1205 and 7.1866 Å, with angles of 90.00, 90.00 and 90.00 degrees. The inequivalent atoms are Ac at (0.0000, 0.0000, 0.0000), Tm at (0.0000, 0.5000, 0.2680), Ta at (0.0000, 0.0000, 0.5000), O at (0.0000, 0.1902, 0.2953), O at (0.1672, 0.5000, 0.0000) and O at (0.2135, 0.5000, 0.5000).

The value obtained for the formation energy (no corrections) is -35.177 eV/f.u.


No. 2
The following is a DFT calculation (GGA-PBE) of an optimized crystal structure of Mn2Pd5.

The space group is Ibam (No. 72) and the conventional cell measures 6.4372, 12.2393 and 5.5521 Å, with angles of 90.00, 90.00 and 90.00 degrees. The inequivalent atoms are Mn at (0.2195, 0.1203, 0.0000), Pd at (0.0000, 0.2718, 0.2500), Pd at (0.0000, 0.5000, 0.2500) and Pd at (0.1776, 0.0957, 0.5000).

The calculation puts the formation energy at -0.133 eV/atom.


No. 3
The following is a DFT calculation (GGA-PBE) of an optimized crystal structure of BeAsAu.

The space group is Cc (No. 9) and the conventional cell measures 17.5333, 4.4624 and 10.1429 Å, with angles of 90.00, 124.31 and 90.00 degrees. The inequivalent atoms are Be at (0.0000, 0.1404, 0.0000), Be at (0.1400, 0.2885, 0.4919), Be at (0.3358, 0.3483, 0.9583), As at (0.1081, 0.0398, 0.2656), As at (0.2173, 0.3090, 0.9889), As at (0.4639, 0.3630, 0.2327), Au at (0.2722, 0.0732, 0.7172), Au at (0.3870, 0.1631, 0.5335) and Au at (0.4872, 0.1405, 0.9133).

The calculation puts the formation energy at 0.122 eV/atom.


No. 4
The following is a DFT calculation (GGA-PBE) of an optimized crystal structure of Ba2Na6Mg.

The space group is C2/m (No. 12) and the conventional cell measures 12.6661, 7.2812 and 8.0025 Å, with angles of 90.00, 90.44 and 90.00 degrees. The inequivalent atoms are Ba at (0.1670, 0.0000, 0.1128), Na at (0.0848, 0.2419, 0.6696), Na at (0.1742, 0.5000, 0.3349) and Mg at (0.0000, 0.5000, 0.0000).

The calculation puts the formation energy at 0.020 eV/atom.


No. 5
The following is a DFT calculation (GGA-PBE) of an optimized crystal structure of Ho3Tm6Tc.

The space group is Pnnm (No. 58) and the conventional cell measures 10.2106, 11.0557 and 5.1425 Å, with angles of 90.00, 90.00 and 90.00 degrees. The inequivalent atoms are Ho at (0.0000, 0.0000, 0.0000), Ho at (0.1036, 0.2102, 0.5000), Tm at (0.0829, 0.7273, 0.0000), Tm at (0.1514, 0.5517, 0.5000), Tm at (0.2416, 0.8802, 0.5000) and Tc at (0.0000, 0.5000, 0.0000).

The calculation puts the formation energy at 0.069 eV/atom.


No. 6
The following is a DFT calculation (GGA-PBE) of an optimized crystal structure of NpAl3Ga2.

The space group is P6/mmm (No. 191) and the conventional cell measures 5.5502, 5.5502 and 4.2215 Å, with angles of 90.00, 90.00 and 120.00 degrees. The inequivalent atoms are Np at (0.0000, 0.0000, 0.0000), Al at (0.0000, 0.5000, 0.5000) and Ga at (0.3333, 0.6667, 0.0000).

The calculation puts the formation energy at -0.006 eV/atom.


No. 7
The following is a DFT calculation (GGA-PBE) of an optimized crystal structure of LiAuO2F.

The space group is P4/mmm (No. 123) and the conventional cell measures 3.9872, 3.9872 and 4.5213 Å, with angles of 90.00, 90.00 and 90.00 degrees. The inequivalent atoms are Li at (0.0000, 0.0000, 0.0000), Au at (0.5000, 0.5000, 0.5000), O at (0.0000, 0.5000, 0.5000) and F at (0.5000, 0.5000, 0.0000).

The value obtained for the formation energy (no corrections) is -2.300 eV/f.u.


No. 8
The following is a DFT calculation (GGA-PBE) of an optimized crystal structure of PmTlPt.

The space group is P4/nmm (No. 129, origin choice 2) and the conventional cell measures 4.2831, 4.2831 and 8.1709 Å, with angles of 90.00, 90.00 and 90.00 degrees. The inequivalent atoms are Pm at (0.2500, 0.2500, 0.1455), Tl at (0.2500, 0.7500, 0.5000) and Pt at (0.2500, 0.2500, 0.7904).

The calculation puts the formation energy at -0.696 eV/atom. Its relative energy among the computed polymorphs is 77 meV/atom.


No. 9
The following is a DFT calculation (GGA-PBE) of an optimized crystal structure of KRePd2O.

The space group is P4/mmm (No. 123) and the conventional cell measures 4.7240, 4.7240 and 6.9627 Å, with angles of 90.00, 90.00 and 90.00 degrees. The inequivalent atoms are K at (0.0000, 0.0000, 0.0000), Re at (0.0000, 0.0000, 0.5000), Pd at (0.0000, 0.5000, 0.5000) and O at (0.5000, 0.5000, 0.0000).

The value obtained for the formation energy (no corrections) is 7.405 eV/f.u.


No. 10
The following is a DFT calculation (GGA-PBE) of an optimized crystal structure of Mg2MnSe.

The space group is Amm2 (No. 38) and the conventional cell measures 3.6886, 3.7956 and 11.2146 Å, with angles of 90.00, 90.00 and 90.00 degrees. The inequivalent atoms are Mg at (0.0000, 0.0000, 0.0000), Mg at (0.5000, 0.0000, 0.3329), Mn at (0.0000, 0.0000, 0.7397) and Se at (0.5000, 0.0000, 0.5856).

The value obtained for the formation energy (no corrections) is -0.894 eV/f.u.


No. 11
The following is a DFT calculation (GGA-PBE) of an optimized crystal structure of BaU2TaS8.

The space group is P2/m (No. 10) and the conventional cell measures 6.0213, 8.3073 and 6.3545 Å, with angles of 90.00, 91.18 and 90.00 degrees. The inequivalent atoms are Ba at (0.0000, 0.0000, 0.0000), U at (0.5000, 0.2573, 0.5000), Ta at (0.0000, 0.5000, 0.0000), S at (0.2376, 0.3014, 0.1674), S at (0.2657, 0.5000, 0.6797) and S at (0.2687, 0.0000, 0.6012).

The value obtained for the formation energy (no corrections) is -14.216 eV/f.u.


No. 12
The following is a DFT calculation (GGA-PBE) of an optimized crystal structure of GeRu2S.

The space group is Fm-3m (No. 225) and the conventional cell measures 6.0606, 6.0606 and 6.0606 Å, with angles of 90.00, 90.00 and 90.00 degrees. The inequivalent atoms are Ge at (0.0000, 0.0000, 0.0000), Ru at (0.2500, 0.2500, 0.2500) and S at (0.0000, 0.0000, 0.5000).

The value obtained for the formation energy (no corrections) is 0.458 eV/f.u. Its relative energy among the computed polymorphs is 0 meV/atom.


| no. | total magnetization (μB/atom) |
| --- | --- |
| 1 | 0.098 |
| 2 | 1.320 |
| 3 | 0.000 |
| 4 | 0.000 |
| 5 | 0.000 |
| 6 | 0.692 |
| 7 | 0.000 |
| 8 | 0.000 |
| 9 | 0.196 |
| 10 | 0.873 |
| 11 | 0.250 |
| 12 | 0.000 |